Entry from the Open Quantum Materials Database: SrSb2Pd4 after structural relaxation (PBE).

Output
- raw total energy (eV per atom) = -5.020
- SG = P4_2/mnm

a b c (Å): 8.2558 8.2558 4.1973
angles (deg): 90.00 90.00 90.00
With the nearest neighbours (Å) after each atom.
Fractional coordinates of all 14 atoms:
Sr (0.0000, 0.0000, 0.0000)  6 Sb 3.26-3.33, 12 Pd 3.61-3.65
Sr (0.5000, 0.5000, 0.5000)  6 Sb 3.26-3.33, 12 Pd 3.61-3.65
Sb (0.2209, 0.2209, 0.5000)  6 Pd 2.69-2.74
Sb (0.2791, 0.7209, 0.0000)  6 Pd 2.69-2.74
Sb (0.7209, 0.2791, 0.0000)  6 Pd 2.69-2.74
Sb (0.7791, 0.7791, 0.5000)  6 Pd 2.69-2.74
Pd (0.0864, 0.6552, 0.5000)  3 Sb 2.69-2.74, 5 Pd 2.93-2.95
Pd (0.1552, 0.4136, 0.0000)  3 Sb 2.69-2.74, 5 Pd 2.93-2.95
Pd (0.3448, 0.9136, 0.5000)  3 Sb 2.69-2.74, 5 Pd 2.93-2.95
Pd (0.4136, 0.1552, 0.0000)  3 Sb 2.69-2.74, 5 Pd 2.93-2.95
Pd (0.5864, 0.8448, 0.0000)  3 Sb 2.69-2.74, 5 Pd 2.93-2.95
Pd (0.6552, 0.0864, 0.5000)  3 Sb 2.69-2.74, 5 Pd 2.93-2.95
Pd (0.8448, 0.5864, 0.0000)  3 Sb 2.69-2.74, 5 Pd 2.93-2.95
Pd (0.9136, 0.3448, 0.5000)  3 Sb 2.69-2.74, 5 Pd 2.93-2.95